# 1
Here is a relaxed structure of Li2CaMoOs from Alexandria. Energies are from PBE-GGA.

Crystal system ... tetragonal
Energy of formation ... 1766 meV/atom
Theoretical density ... 5.2 g/cm3
SG ... P4/mmm, No. 123

Unit cell a=4.606 b=5.083 c=4.606 alpha=90.00 beta=90.00 gamma=90.00
Each line ends with the local moment (μB).
Fractional positions:
Mo1 0.500 0.500 0.500  0.17
Os1 0.000 0.000 0.000  -0.03
Ca1 0.000 0.500 0.000  0.01
Li1 0.000 0.000 0.500  0.00
Li2 0.500 0.000 0.000  0.00

=====

# 2
Here is a relaxed structure of LiCaV2Mo from Alexandria. Energies are from PBE-GGA.

Crystal system ... tetragonal
Energy of formation ... 1038 meV/atom
Theoretical density ... 3.3 g/cm3
SG ... P4/mmm, No. 123

Unit cell a=4.627 b=5.684 c=4.627 alpha=90.00 beta=90.00 gamma=90.00
Each line ends with the local moment (μB).
Fractional positions:
Mo1 0.000 0.000 0.000  -0.62
Li1 0.500 0.500 0.500  0.00
Ca1 0.000 0.500 0.000  -0.02
V1 0.000 0.000 0.500  0.99
V2 0.500 0.000 0.000  1.58

=====

# 3
Here is a relaxed structure of LiCa2N from Alexandria. Energies are from PBE-GGA.

Crystal system ... tetragonal
Raw formation energy ... -0.28 eV per atom
Theoretical density ... 1.5 g/cm3
SG ... I-42d, No. 122

Unit cell a=7.157 b=7.157 c=6.768 alpha=58.08 beta=58.08 gamma=90.00
Fractional positions:
Ca1 0.761 0.125 0.250
Ca2 0.989 0.625 0.250
Ca3 0.375 0.239 0.750
Ca4 0.875 0.011 0.750
Li1 0.500 0.500 0.000
Li2 0.250 0.750 0.500
N1 0.000 0.000 0.000
N2 0.750 0.250 0.500

=====

# 4
Here is a relaxed structure of LiCa2N from Alexandria. Energies are from PBE-GGA.

Crystal system ... orthorhombic
Raw formation energy ... -0.47 eV per atom
Theoretical density ... 1.9 g/cm3
SG ... Cmcm, No. 63

Unit cell a=4.837 b=4.988 c=14.918 alpha=90.00 beta=90.00 gamma=90.00
Fractional positions:
Li1 0.750 0.250 0.471
Li2 0.250 0.750 0.529
Li3 0.750 0.750 0.029
Li4 0.250 0.250 0.971
Ca1 0.750 0.750 0.642
Ca2 0.250 0.250 0.358
Ca3 0.750 0.250 0.858
Ca4 0.250 0.750 0.142
Ca5 0.250 0.250 0.675
Ca6 0.750 0.250 0.175
Ca7 0.250 0.750 0.825
Ca8 0.750 0.750 0.325
N1 0.750 0.750 0.164
N2 0.750 0.250 0.336
N3 0.250 0.250 0.836
N4 0.250 0.750 0.664

=====

# 5
Here is a relaxed structure of Li4Ca2N from Alexandria. Energies are from PBE-GGA.

Crystal system ... tetragonal
Raw formation energy ... -0.16 eV per atom
Theoretical density ... 1.2 g/cm3
SG ... I4/mmm, No. 139

Unit cell a=3.969 b=3.969 c=10.821 alpha=79.43 beta=79.43 gamma=90.00
Fractional positions:
Ca1 0.689 0.689 0.622
Ca2 0.311 0.311 0.378
Li1 0.908 0.908 0.183
Li2 0.092 0.092 0.817
Li3 0.000 0.500 0.000
Li4 0.500 0.000 0.000
N1 0.000 0.000 0.000

=====

# 6
Here is a relaxed structure of LiCa8N4 from Alexandria. Energies are from PBE-GGA.

Crystal system ... cubic
Raw formation energy ... -0.53 eV per atom
Theoretical density ... 2.1 g/cm3
SG ... F-43m, No. 216

Unit cell a=7.511 b=7.511 c=7.511 alpha=60.00 beta=60.00 gamma=60.00
Each line ends with the local moment (μB).
Fractional positions:
Li1 0.750 0.750 0.750  0.08
Ca1 0.577 0.141 0.141  0.01
Ca2 0.141 0.577 0.141  0.01
Ca3 0.141 0.141 0.577  0.01
Ca4 0.141 0.141 0.141  0.01
Ca5 0.189 0.604 0.604  0.03
Ca6 0.604 0.189 0.604  0.03
Ca7 0.604 0.604 0.189  0.03
Ca8 0.604 0.604 0.604  0.03
N1 0.875 0.375 0.375  0.01
N2 0.375 0.875 0.375  0.01
N3 0.375 0.375 0.875  0.01
N4 0.375 0.375 0.375  0.01

=====

# 7
Here is a relaxed structure of Li2CaN from Alexandria. Energies are from PBE-GGA.

Crystal system ... tetragonal
Raw formation energy ... 0.07 eV per atom
Theoretical density ... 1.5 g/cm3
SG ... I4_1/amd, No. 141

Unit cell a=5.671 b=5.671 c=6.242 alpha=62.98 beta=62.98 gamma=90.00
Fractional positions:
Ca1 0.000 0.000 0.000
Ca2 0.750 0.250 0.500
Li1 0.375 0.125 0.250
Li2 0.375 0.625 0.250
Li3 0.375 0.625 0.750
Li4 0.875 0.625 0.750
N1 0.500 0.500 0.000
N2 0.250 0.750 0.500

=====

# 8
Here is a relaxed structure of LiCaN from Alexandria. Energies are from PBE-GGA.

Crystal system ... orthorhombic
Raw formation energy ... -0.58 eV per atom
Theoretical density ... 2.7 g/cm3
SG ... Pnma, No. 62

Unit cell a=3.481 b=7.326 c=5.975 alpha=90.00 beta=90.00 gamma=90.00
Fractional positions:
Li1 0.750 0.964 0.122
Li2 0.750 0.536 0.622
Li3 0.250 0.036 0.878
Li4 0.250 0.464 0.378
Ca1 0.250 0.819 0.482
Ca2 0.750 0.319 0.018
Ca3 0.250 0.681 0.982
Ca4 0.750 0.181 0.518
N1 0.750 0.593 0.266
N2 0.750 0.907 0.766
N3 0.250 0.093 0.234
N4 0.250 0.407 0.734

=====

# 9
Here is a relaxed structure of Li4Ca3N4 from Alexandria. Energies are from PBE-GGA.

Crystal system ... orthorhombic
Raw formation energy ... -0.46 eV per atom
Theoretical density ... 2.8 g/cm3
SG ... Immm, No. 71

Unit cell a=3.549 b=5.678 c=6.939 alpha=114.15 beta=104.82 gamma=90.00
Fractional positions:
Li1 0.318 0.122 0.636
Li2 0.682 0.486 0.364
Li3 0.682 0.878 0.364
Li4 0.318 0.514 0.636
Ca1 0.123 0.123 0.245
Ca2 0.877 0.877 0.755
Ca3 0.000 0.500 0.000
N1 0.209 0.709 0.419
N2 0.791 0.291 0.581
N3 0.500 0.857 0.000
N4 0.500 0.143 0.000

=====

# 10
Here is a relaxed structure of LiCaN from Alexandria. Energies are from PBE-GGA.

Crystal system ... orthorhombic
Raw formation energy ... -0.65 eV per atom
Theoretical density ... 2.3 g/cm3
SG ... Pnma, No. 62

Unit cell a=3.669 b=5.559 c=8.509 alpha=90.00 beta=90.00 gamma=90.00
Fractional positions:
Ca1 0.750 0.973 0.156
Ca2 0.250 0.473 0.344
Ca3 0.250 0.027 0.844
Ca4 0.750 0.527 0.656
Li1 0.750 0.426 0.047
Li2 0.250 0.926 0.453
Li3 0.250 0.574 0.953
Li4 0.750 0.074 0.547
N1 0.750 0.759 0.407
N2 0.250 0.259 0.093
N3 0.250 0.241 0.593
N4 0.750 0.741 0.907

=====

# 11
Here is a relaxed structure of Li4CaN2 from Alexandria. Energies are from PBE-GGA.

Crystal system ... trigonal
Raw formation energy ... -0.45 eV per atom
Theoretical density ... 2.2 g/cm3
SG ... R-3m, No. 166

Unit cell a=3.562 b=3.562 c=6.889 alpha=75.02 beta=75.02 gamma=60.00
Fractional positions:
Li1 0.426 0.426 0.722
Li2 0.139 0.139 0.582
Li3 0.574 0.574 0.278
Li4 0.861 0.861 0.418
Ca1 0.000 0.000 0.000
N1 0.246 0.246 0.261
N2 0.754 0.754 0.739

=====

# 12
Here is a relaxed structure of Li2Ca5N4 from Alexandria. Energies are from PBE-GGA.

Crystal system ... tetragonal
Raw formation energy ... -0.65 eV per atom
Theoretical density ... 2.2 g/cm3
SG ... P4/ncc, No. 130

Unit cell a=7.927 b=7.927 c=13.052 alpha=90.00 beta=90.00 gamma=90.00
Fractional positions:
Li1 0.097 0.903 0.250
Li2 0.403 0.903 0.750
Li3 0.097 0.597 0.750
Li4 0.403 0.597 0.250
Li5 0.903 0.097 0.750
Li6 0.597 0.097 0.250
Li7 0.903 0.403 0.250
Li8 0.597 0.403 0.750
Ca1 0.750 0.750 0.374
Ca2 0.750 0.750 0.874
Ca3 0.250 0.250 0.626
Ca4 0.250 0.250 0.126
Ca5 0.133 0.578 0.415
Ca6 0.367 0.578 0.915
Ca7 0.133 0.922 0.915
Ca8 0.367 0.922 0.415
Ca9 0.578 0.133 0.915
Ca10 0.922 0.133 0.415
Ca11 0.578 0.367 0.415
Ca12 0.922 0.367 0.915
Ca13 0.867 0.422 0.585
Ca14 0.633 0.422 0.085
Ca15 0.867 0.078 0.085
Ca16 0.633 0.078 0.585
Ca17 0.422 0.867 0.085
Ca18 0.078 0.867 0.585
Ca19 0.422 0.633 0.585
Ca20 0.078 0.633 0.085
N1 0.635 0.053 0.394
N2 0.865 0.053 0.894
N3 0.635 0.447 0.894
N4 0.865 0.447 0.394
N5 0.053 0.635 0.894
N6 0.447 0.635 0.394
N7 0.053 0.865 0.394
N8 0.447 0.865 0.894
N9 0.365 0.947 0.606
N10 0.135 0.947 0.106
N11 0.365 0.553 0.106
N12 0.135 0.553 0.606
N13 0.947 0.365 0.106
N14 0.553 0.365 0.606
N15 0.947 0.135 0.606
N16 0.553 0.135 0.106

=====

# 13
Here is a relaxed structure of LiCaN2 from Alexandria. Energies are from PBE-GGA.

Crystal system ... trigonal
Raw formation energy ... 0.40 eV per atom
Theoretical density ... 2.6 g/cm3
SG ... R-3m, No. 166

Unit cell a=4.477 b=4.477 c=4.477 alpha=49.69 beta=49.69 gamma=49.69
Fractional positions:
Ca1 0.000 0.000 0.000
Li1 0.500 0.500 0.500
N1 0.798 0.798 0.798
N2 0.202 0.202 0.202

=====

# 14
Here is a relaxed structure of Li4CaN2 from Alexandria. Energies are from PBE-GGA.

Crystal system ... tetragonal
Raw formation energy ... -0.42 eV per atom
Theoretical density ... 2.2 g/cm3
SG ... P4_2/mnm, No. 136

Unit cell a=3.515 b=6.449 c=6.449 alpha=90.00 beta=90.00 gamma=90.00
Fractional positions:
Li1 0.000 0.093 0.327
Li2 0.000 0.907 0.673
Li3 0.500 0.173 0.593
Li4 0.500 0.827 0.407
Li5 0.500 0.407 0.827
Li6 0.500 0.593 0.173
Li7 0.000 0.327 0.093
Li8 0.000 0.673 0.907
Ca1 0.500 0.000 0.000
Ca2 0.000 0.500 0.500
N1 0.000 0.220 0.780
N2 0.000 0.780 0.220
N3 0.500 0.720 0.720
N4 0.500 0.280 0.280

=====

# 15
Here is a relaxed structure of Li6Ca2N3 from Alexandria. Energies are from PBE-GGA.

Crystal system ... hexagonal
Raw formation energy ... -0.27 eV per atom
Theoretical density ... 2.0 g/cm3
SG ... P-62m, No. 189

Unit cell a=3.466 b=6.699 c=6.699 alpha=120.00 beta=90.00 gamma=90.00
Fractional positions:
Li1 0.500 0.695 0.695
Li2 0.500 0.000 0.305
Li3 0.000 0.240 0.240
Li4 0.000 0.760 0.000
Li5 0.500 0.305 0.000
Li6 0.000 0.000 0.760
Ca1 0.000 0.667 0.333
Ca2 0.000 0.333 0.667
N1 0.500 0.372 0.372
N2 0.500 0.628 0.000
N3 0.500 0.000 0.628

=====

# 16
Here is a relaxed structure of LiCa8N4 from Alexandria. Energies are from PBE-GGA.

Crystal system ... monoclinic
Raw formation energy ... -0.64 eV per atom
Theoretical density ... 2.2 g/cm3
SG ... C2/m, No. 12

Unit cell a=3.615 b=9.215 c=9.226 alpha=87.54 beta=78.70 gamma=78.69
Fractional positions:
Li1 0.516 0.002 0.967
Ca1 0.179 0.296 0.346
Ca2 0.558 0.625 0.258
Ca3 0.473 0.378 0.675
Ca4 0.853 0.707 0.588
Ca5 0.860 0.958 0.323
Ca6 0.217 0.646 0.920
Ca7 0.172 0.046 0.611
Ca8 0.815 0.358 0.013
N1 0.362 0.825 0.452
N2 0.847 0.515 0.790
N3 0.184 0.488 0.144
N4 0.670 0.179 0.482

=====

# 17
Here is a relaxed structure of LiCa4N from Alexandria. Energies are from PBE-GGA.

Crystal system ... monoclinic
Raw formation energy ... -0.29 eV per atom
Theoretical density ... 1.6 g/cm3
SG ... C2/m, No. 12

Unit cell a=4.996 b=11.401 c=7.661 alpha=120.19 beta=90.00 gamma=102.66
Fractional positions:
Li1 0.320 0.640 0.574
Li2 0.680 0.360 0.426
Ca1 0.031 0.062 0.351
Ca2 0.145 0.290 0.096
Ca3 0.797 0.594 0.243
Ca4 0.594 0.189 0.740
Ca5 0.406 0.811 0.260
Ca6 0.203 0.406 0.757
Ca7 0.855 0.710 0.904
Ca8 0.969 0.938 0.649
N1 0.089 0.179 0.733
N2 0.911 0.821 0.267

=====

# 18
Here is a relaxed structure of LiCaN2 from Alexandria. Energies are from PBE-GGA.

Crystal system ... cubic
Raw formation energy ... 0.38 eV per atom
Theoretical density ... 2.7 g/cm3
SG ... Fm-3m, No. 225

Unit cell a=4.035 b=4.035 c=4.035 alpha=60.00 beta=60.00 gamma=60.00
Fractional positions:
Ca1 0.500 0.500 0.500
Li1 0.000 0.000 0.000
N1 0.250 0.250 0.250
N2 0.750 0.750 0.750

=====

# 19
Here is a relaxed structure of LiCaN from Alexandria. Energies are from PBE-GGA.

Crystal system ... hexagonal
Raw formation energy ... -0.50 eV per atom
Theoretical density ... 2.7 g/cm3
SG ... P6_3/mmc, No. 194

Unit cell a=3.566 b=3.566 c=13.756 alpha=90.00 beta=90.00 gamma=120.00
Fractional positions:
N1 0.333 0.667 0.879
N2 0.667 0.333 0.379
N3 0.667 0.333 0.121
N4 0.333 0.667 0.621
Li1 0.333 0.667 0.381
Li2 0.667 0.333 0.881
Li3 0.667 0.333 0.619
Li4 0.333 0.667 0.119
Ca1 0.000 0.000 0.000
Ca2 0.000 0.000 0.500
Ca3 0.000 0.000 0.250
Ca4 0.000 0.000 0.750

=====

# 20
Here is a relaxed structure of LiCa2N from Alexandria. Energies are from PBE-GGA.

Crystal system ... monoclinic
Raw formation energy ... -0.53 eV per atom
Theoretical density ... 1.7 g/cm3
SG ... C2, No. 5

Unit cell a=3.572 b=3.572 c=9.190 alpha=101.08 beta=90.03 gamma=119.99
Fractional positions:
Li1 0.082 0.925 0.052
Ca1 0.872 0.498 0.411
Ca2 0.298 0.351 0.693
N1 0.585 0.925 0.552

=====

# 21
Here is a relaxed structure of LiCaN2 from Alexandria. Energies are from PBE-GGA.

Crystal system ... tetragonal
Raw formation energy ... 0.16 eV per atom
Theoretical density ... 2.7 g/cm3
SG ... I-42d, No. 122

Unit cell a=3.833 b=3.833 c=6.938 alpha=73.96 beta=73.96 gamma=90.00
Fractional positions:
Ca1 0.000 0.000 0.000
Ca2 0.750 0.250 0.500
Li1 0.500 0.500 0.000
Li2 0.250 0.750 0.500
N1 0.276 0.125 0.250
N2 0.474 0.625 0.250
N3 0.375 0.724 0.750
N4 0.875 0.526 0.750